1.
{"formula": "Nd4Ho8Th", "functional": "PBE", "state": "relaxed", "lattice": [[-7.7900, 0.3348, -0.0993], [-0.3131, -6.3057, 4.5767], [0.1330, 4.5885, 6.3035]], "species": ["Ho", "Ho", "Ho", "Ho", "Ho", "Ho", "Ho", "Ho", "Nd", "Nd", "Nd", "Nd", "Th"], "fractional_positions": [[0.7590, 0.7590, 0.7590], [0.7582, 0.2405, 0.2405], [0.7595, 0.2418, 0.7595], [0.7595, 0.7595, 0.2418], [0.2418, 0.7595, 0.7595], [0.2405, 0.7582, 0.2405], [0.2405, 0.2405, 0.7582], [0.2410, 0.2410, 0.2410], [0.5000, 0.0000, 0.5000], [0.0000, 0.0000, 0.0000], [0.5000, 0.5000, 0.0000], [0.0000, 0.5000, 0.5000], [0.5000, 0.5000, 0.5000]], "dft_energy_ev_per_atom": -4.337}

***

2.
{"formula": "NdHo2Th2", "functional": "PBE", "state": "relaxed", "lattice": [[-0.8303, 3.4429, -0.4655], [-2.2967, -2.5432, -1.0084], [-6.1714, 0.3072, 13.2805]], "species": ["Nd", "Ho", "Ho", "Th", "Th"], "fractional_positions": [[0.0000, 0.0000, 0.5000], [0.3333, 0.6667, 0.2993], [0.6667, 0.3333, 0.7007], [0.3333, 0.6667, 0.9011], [0.6667, 0.3333, 0.0989]], "de_polymorph_ev_per_atom": 0.017}

***

3.
{"formula": "Nd3HoTh", "functional": "PBE", "state": "relaxed", "lattice": [[6.8481, 0.0000, 0.0000], [3.4240, 5.9306, 0.0000], [3.4240, 1.9769, 8.3705]], "species": ["Nd", "Nd", "Nd", "Nd", "Nd", "Nd", "Th", "Th", "Ho", "Ho"], "fractional_positions": [[0.3785, 0.3781, 0.3435], [0.8999, 0.3785, 0.3435], [0.6215, 0.6219, 0.6565], [0.6219, 0.1001, 0.6565], [0.3781, 0.8999, 0.3435], [0.1001, 0.6215, 0.6565], [0.0700, 0.0700, 0.7899], [0.9300, 0.9300, 0.2101], [0.3366, 0.3366, 0.9902], [0.6634, 0.6634, 0.0098]], "de_polymorph_ev_per_atom": 0.237}